The following is a PBE calculation of a relaxed structure of Sr2CuRh, from Alexandria via LeMat-Bulk.

Cell lengths 5.939, 5.939, 5.939 Å; angles 136.31, 136.31, 63.51 degrees
Element x y z (fractional)
Rh1 0.750 0.250 0.500
Cu1 0.500 0.500 0.000
Sr1 0.250 0.750 0.500
Sr2 0.000 0.000 0.000

magnetization: 0.000 μB/f.u.
DFT total energy: -3.5962 eV per atom
DOS(E_F): 0.43 states/eV/atom
volume: 24.7 A^3/atom

The following is a PBE calculation of a relaxed structure of KOs2Ru2, from Alexandria via LeMat-Bulk.

Cell lengths 7.937, 7.937, 2.688 Å; angles 90.00, 90.00, 90.00 degrees
Element x y z (fractional)
Ru1 0.881 0.619 0.000
Ru2 0.619 0.119 0.000
Os1 0.665 0.835 0.500
K1 0.500 0.500 0.000
Ru3 0.119 0.381 0.000
Os2 0.835 0.335 0.500
Ru4 0.381 0.881 0.000
Os3 0.165 0.665 0.500
Os4 0.335 0.165 0.500
K2 0.000 0.000 0.000

offset from the most stable computed form: 0.0000 eV/atom
magnetization: 0.000 μB/f.u.
DOS(E_F): 0.83 states/eV/atom
volume: 16.9 A^3/atom

The following is a PBE calculation of a relaxed structure of LaMnPb, from Alexandria via LeMat-Bulk.

Cell lengths 6.512, 6.511, 3.612 Å; angles 73.91, 73.89, 32.21 degrees
Each line ends with the local moment (μB).
Element x y z (fractional)
Mn1 0.317 0.317 0.683  3.56
La1 0.989 0.989 0.011  -0.28
Pb1 0.694 0.694 0.306  -0.07

magnetization: 3.042 μB/f.u.
DFT total energy: -5.8691 eV per atom
DOS(E_F): 1.40 states/eV/atom
volume: 26.1 A^3/atom

The following is a PBE calculation of a relaxed structure of Zn4FeNi15, from Alexandria via LeMat-Bulk.

Cell lengths 3.571, 3.571, 17.827 Å; angles 90.00, 90.00, 90.00 degrees
Each line ends with the local moment (μB).
Element x y z (fractional)
Ni1 0.000 0.500 0.097  0.56
Ni2 0.500 0.000 0.097  0.56
Ni3 0.500 0.500 0.400  0.41
Ni4 0.500 0.000 0.903  0.56
Ni5 0.500 0.500 0.198  0.41
Ni6 0.500 0.500 0.000  0.66
Ni7 0.000 0.500 0.500  0.43
Ni8 0.500 0.000 0.500  0.43
Ni9 0.000 0.500 0.299  0.40
Zn1 0.000 0.000 0.801  -0.03
Ni10 0.500 0.000 0.701  0.40
Ni11 0.000 0.500 0.701  0.40
Fe1 0.000 0.000 0.000  2.77
Zn2 0.000 0.000 0.601  -0.02
Ni12 0.500 0.500 0.600  0.41
Ni13 0.500 0.500 0.802  0.41
Zn3 0.000 0.000 0.399  -0.02
Zn4 0.000 0.000 0.199  -0.03
Ni14 0.000 0.500 0.903  0.56
Ni15 0.500 0.000 0.299  0.40

magnetization: 9.185 μB/f.u.
DFT total energy: -5.1207 eV per atom
DOS(E_F): 0.99 states/eV/atom
volume: 11.4 A^3/atom

The following is a PBE calculation of a relaxed structure of Ge6Pb4Cl19, from Alexandria via LeMat-Bulk.

Cell lengths 10.377, 10.377, 10.377 Å; angles 109.47, 109.47, 109.47 degrees
Element x y z (fractional)
Cl1 0.278 0.278 0.000
Ge1 0.640 0.500 0.140
Ge2 0.140 0.640 0.500
Cl2 0.631 0.393 0.322
Cl3 0.309 0.678 0.071
Cl4 0.322 0.631 0.393
Cl5 0.929 0.607 0.238
Cl6 0.678 0.071 0.309
Pb1 0.281 0.281 0.281
Ge3 0.500 0.860 0.360
Cl7 0.000 0.000 0.000
Cl8 0.691 0.762 0.369
Ge4 0.500 0.140 0.640
Cl9 0.607 0.238 0.929
Cl10 0.071 0.309 0.678
Cl11 0.393 0.322 0.631
Cl12 0.369 0.691 0.762
Pb2 0.719 0.000 0.000
Cl13 0.762 0.369 0.691
Cl14 0.000 0.278 0.278
Cl15 0.278 0.000 0.278
Ge5 0.860 0.360 0.500
Cl16 0.238 0.929 0.607
Cl17 0.722 0.000 0.722
Pb3 0.000 0.719 0.000
Ge6 0.360 0.500 0.860
Cl18 0.722 0.722 0.000
Cl19 0.000 0.722 0.722
Pb4 0.000 0.000 0.719

magnetization: 0.000 μB/f.u.
DFT total energy: -3.5075 eV per atom
DOS(E_F): 0.20 states/eV/atom
volume: 29.7 A^3/atom

The following is a PBE calculation of a relaxed structure of CsGa2SiB, from Alexandria via LeMat-Bulk.

Cell lengths 4.442, 6.012, 4.442 Å; angles 90.00, 90.00, 90.00 degrees
Element x y z (fractional)
Ga1 0.000 0.000 0.500
B1 0.000 0.000 0.000
Si1 0.500 0.500 0.500
Ga2 0.500 0.000 0.000
Cs1 0.000 0.500 0.000

magnetization: 0.000 μB/f.u.
DFT total energy: -2.7524 eV per atom
DOS(E_F): 0.74 states/eV/atom
volume: 23.7 A^3/atom

The following is a PBE calculation of a relaxed structure of CdHg6Pb12, from Alexandria via LeMat-Bulk.

Cell lengths 8.758, 8.758, 8.758 Å; angles 96.62, 96.62, 96.62 degrees
Element x y z (fractional)
Pb1 0.337 0.063 0.929
Hg1 0.282 0.149 0.592
Hg2 0.592 0.282 0.149
Pb2 0.937 0.071 0.663
Pb3 0.471 0.607 0.179
Pb4 0.663 0.937 0.071
Pb5 0.063 0.929 0.337
Hg3 0.149 0.592 0.282
Cd1 0.000 0.000 0.000
Pb6 0.071 0.663 0.937
Hg4 0.851 0.408 0.718
Pb7 0.821 0.529 0.393
Pb8 0.929 0.337 0.063
Pb9 0.529 0.393 0.821
Pb10 0.393 0.821 0.529
Hg5 0.718 0.851 0.408
Hg6 0.408 0.718 0.851
Pb11 0.607 0.179 0.471
Pb12 0.179 0.471 0.607

offset from the most stable computed form: 0.0943 eV/atom
magnetization: 0.000 μB/f.u.
DOS(E_F): 0.49 states/eV/atom
volume: 34.6 A^3/atom

The following is a PBE calculation of a relaxed structure of CeThSi, from Alexandria via LeMat-Bulk.

Cell lengths 4.270, 4.270, 8.926 Å; angles 103.84, 103.84, 90.00 degrees
Element x y z (fractional)
Th1 0.821 0.821 0.641
Si1 0.635 0.635 0.270
Si2 0.365 0.365 0.730
Ce1 0.000 0.500 0.000
Ce2 0.500 0.000 0.000
Th2 0.179 0.179 0.359

offset from the most stable computed form: 0.0000 eV/atom
magnetization: 0.000 μB/f.u.
DOS(E_F): 1.68 states/eV/atom
volume: 25.5 A^3/atom